Entry 1:
Entry from OQMD via LeMat-Bulk: a relaxed InMoW2 crystal (PBE-GGA).

Cell and atoms, written as CIF:
```
data_InMoW2
_chemical_formula_sum 'In1 Mo1 W2'
_cell_length_a 4.5847
_cell_length_b 4.5847
_cell_length_c 4.5847
_cell_angle_alpha 60.00
_cell_angle_beta 60.00
_cell_angle_gamma 60.00
_symmetry_space_group_name_H-M 'P 1'
_symmetry_Int_Tables_number 1
loop_
_symmetry_equiv_pos_as_xyz
'x,y,z'
loop_
_atom_site_label
_atom_site_fract_x
_atom_site_fract_y
_atom_site_fract_z
In1 0.0000 0.0000 0.0000
Mo1 0.2500 0.2500 0.2500
W1 0.5000 0.5000 0.5000
W2 0.7500 0.7500 0.7500
```

Entry 2:
Entry from OQMD via LeMat-Bulk: a relaxed Li2AlCu2SiPt2 crystal (PBE-GGA).

Cell and atoms, written as CIF:
```
data_Li2AlCu2SiPt2
_chemical_formula_sum 'Li2 Al1 Cu2 Si1 Pt2'
_cell_length_a 4.1832
_cell_length_b 4.1832
_cell_length_c 5.8872
_cell_angle_alpha 90.00
_cell_angle_beta 90.00
_cell_angle_gamma 90.00
_symmetry_space_group_name_H-M 'P 1'
_symmetry_Int_Tables_number 1
loop_
_symmetry_equiv_pos_as_xyz
'x,y,z'
loop_
_atom_site_label
_atom_site_fract_x
_atom_site_fract_y
_atom_site_fract_z
Li1 0.0000 0.0000 0.0000
Li2 0.5000 0.5000 0.5000
Al1 0.0000 0.0000 0.5000
Cu1 0.0000 0.5000 0.2450
Cu2 0.5000 0.0000 0.7550
Si1 0.5000 0.5000 0.0000
Pt1 0.0000 0.5000 0.7603
Pt2 0.5000 0.0000 0.2397
```

Entry 3:
Entry from OQMD via LeMat-Bulk: a relaxed ZrTe crystal (PBE-GGA).

Cell and atoms, written as CIF:
```
data_ZrTe
_chemical_formula_sum 'Zr5 Te5'
_cell_length_a 5.3971
_cell_length_b 8.9623
_cell_length_c 8.9623
_cell_angle_alpha 144.26
_cell_angle_beta 90.00
_cell_angle_gamma 90.00
_symmetry_space_group_name_H-M 'P 1'
_symmetry_Int_Tables_number 1
loop_
_symmetry_equiv_pos_as_xyz
'x,y,z'
loop_
_atom_site_label
_atom_site_fract_x
_atom_site_fract_y
_atom_site_fract_z
Zr1 0.0000 0.0000 0.0000
Zr2 0.0000 0.0520 0.6651
Zr3 0.0000 0.6651 0.0520
Zr4 0.5000 0.1519 0.5393
Zr5 0.5000 0.5393 0.1519
Te1 0.0000 0.2375 0.4941
Te2 0.0000 0.4941 0.2375
Te3 0.5000 0.2916 0.2916
Te4 0.5000 0.7120 0.9659
Te5 0.5000 0.9659 0.7120
```

Entry 4:
Entry from OQMD via LeMat-Bulk: a relaxed HoZr2N3 crystal (PBE-GGA).

Cell and atoms, written as CIF:
```
data_HoZr2N3
_chemical_formula_sum 'Ho1 Zr2 N3'
_cell_length_a 3.2998
_cell_length_b 3.2998
_cell_length_c 8.1161
_cell_angle_alpha 90.00
_cell_angle_beta 90.00
_cell_angle_gamma 120.00
_symmetry_space_group_name_H-M 'P 1'
_symmetry_Int_Tables_number 1
loop_
_symmetry_equiv_pos_as_xyz
'x,y,z'
loop_
_atom_site_label
_atom_site_fract_x
_atom_site_fract_y
_atom_site_fract_z
Ho1 0.0000 0.0000 0.0000
Zr1 0.3333 0.6667 0.3388
Zr2 0.6667 0.3333 0.6612
N1 0.0000 0.0000 0.5000
N2 0.3333 0.6667 0.8221
N3 0.6667 0.3333 0.1779
```

Entry 5:
# LaLuPd (PBE-GGA, relaxed)
# - ΔE_f: -132 kJ/mol of formula units
data_LaLuPd
_chemical_formula_sum 'La1 Lu1 Pd1'
_cell_length_a 4.9578
_cell_length_b 4.9578
_cell_length_c 4.9578
_cell_angle_alpha 60.00
_cell_angle_beta 60.00
_cell_angle_gamma 60.00
_symmetry_space_group_name_H-M 'P 1'
_symmetry_Int_Tables_number 1
loop_
_symmetry_equiv_pos_as_xyz
'x,y,z'
loop_
_atom_site_label
_atom_site_fract_x
_atom_site_fract_y
_atom_site_fract_z
La1 0.0000 0.0000 0.0000
Lu1 0.5000 0.5000 0.5000
Pd1 0.2500 0.2500 0.2500

Entry 6:
Entry from OQMD via LeMat-Bulk: a relaxed BeZnSO crystal (PBE-GGA).

Cell and atoms, written as CIF:
```
data_BeZnSO
_chemical_formula_sum 'Be2 Zn2 S2 O2'
_cell_length_a 3.5867
_cell_length_b 3.5867
_cell_length_c 7.8394
_cell_angle_alpha 90.00
_cell_angle_beta 90.00
_cell_angle_gamma 90.00
_symmetry_space_group_name_H-M 'P 1'
_symmetry_Int_Tables_number 1
loop_
_symmetry_equiv_pos_as_xyz
'x,y,z'
loop_
_atom_site_label
_atom_site_fract_x
_atom_site_fract_y
_atom_site_fract_z
Be1 0.2500 0.2500 0.2021
Be2 0.7500 0.7500 0.7979
Zn1 0.2500 0.7500 0.5000
Zn2 0.7500 0.2500 0.5000
S1 0.2500 0.2500 0.8145
S2 0.7500 0.7500 0.1855
O1 0.2500 0.2500 0.0155
O2 0.7500 0.7500 0.9845
```

no.,total DFT energy (no corrections) (eV per atom)
1,-9.397
2,-4.641
3,-6.429
4,-9.501
5,-5.329
6,-3.797